(1)
First-principles (PBE-GGA) data for an optimized crystal structure of Sm3SiGe, as listed in Alexandria via LeMat-Bulk.

a = 10.6590 Å, b = 17.5145 Å, c = 6.1942 Å
α = 90.00°, β = 90.00°, γ = 90.00°
Space group Cmce (No. 64)
Unique sites:
Sm (0.0000, 0.1076, 0.2493) x8
Sm (0.2495, 0.0000, 0.5000) x8
Sm (0.2500, 0.1792, 0.7500) x8
Si (0.2500, 0.1556, 0.2500) x8
Ge (0.0000, 0.0755, 0.7500) x8

Results
The calculation puts the uncorrected formation energy at -0.513 eV/atom. The calculation puts the density of states at the Fermi level at 29.5 states/eV per cell.

(2)
First-principles (PBE-GGA) data for an optimized crystal structure of Sm2SiGe2, as listed in Alexandria via LeMat-Bulk.

a = 11.0022 Å, b = 4.1882 Å, c = 10.9264 Å
α = 90.00°, β = 116.61°, γ = 90.00°
Space group C2/m (No. 12)
Unique sites:
Sm (0.0971, 0.0000, 0.4018) x4
Sm (0.2007, 0.5000, 0.1446) x4
Si (0.0616, 0.5000, 0.7990) x4
Ge (0.0468, 0.0000, 0.9118) x4
Ge (0.1342, 0.5000, 0.6166) x4

Results
The calculation puts the uncorrected formation energy at -0.679 eV/atom. The calculation puts the density of states at the Fermi level at 9.2 states/eV per cell.

(3)
First-principles (PBE-GGA) data for an optimized crystal structure of Sm8SiGe5, as listed in Alexandria via LeMat-Bulk.

a = 9.0478 Å, b = 9.0478 Å, c = 9.0440 Å
α = 90.00°, β = 90.00°, γ = 90.00°
Space group I-4 (No. 82)
Unique sites:
Sm (0.0649, 0.1859, 0.3094) x8
Sm (0.0654, 0.3158, 0.9414) x8
Si (0.0000, 0.5000, 0.2500) x2
Ge (0.0000, 0.0000, 0.0000) x2
Ge (0.1250, 0.2502, 0.6252) x8

Results
The calculation puts the uncorrected formation energy at -0.810 eV/atom. The calculation puts the density of states at the Fermi level at 1.9 states/eV per cell.